This record from Alexandria describes a relaxed structure of Li4ZrTa. The functional is PBE-GGA.

Geometry as POSCAR:
```
Li4ZrTa
1.0
0.0000 3.7127 3.7127
3.7127 0.0000 3.7127
3.7127 3.7127 0.0000
Li Zr Ta
4 1 1
direct
0.1240 0.1240 0.1240 Li
0.1240 0.1240 0.6279 Li
0.1240 0.6279 0.1240 Li
0.6279 0.1240 0.1240 Li
0.5000 0.5000 0.5000 Zr
0.7500 0.7500 0.7500 Ta
```

## Properties
Total moment (μB per atom): 0.51
Formation enthalpy at 0 K (eV/atom): 0.46
Uncorrected energy (eV per cell): -25.270
Space-group type: F-43m (216)


This record from Alexandria describes a relaxed structure of LiZrTa2. The functional is PBE-GGA.

Geometry as POSCAR:
```
LiZrTa2
1.0
1.4379 0.8302 10.7896
-1.4379 0.8302 10.7896
0.0000 -1.6604 10.7896
Li Zr Ta
1 1 2
direct
0.0000 0.0000 0.0000 Li
0.5000 0.5000 0.5000 Zr
0.2526 0.2526 0.2526 Ta
0.7474 0.7474 0.7474 Ta
```

## Properties
Total moment (μB per atom): 0.00
Formation enthalpy at 0 K (eV/atom): 0.35
Uncorrected energy (eV per cell): -32.774
Space-group type: R-3m (166)


This record from Alexandria describes a relaxed structure of LiZrTa. The functional is PBE-GGA.

Geometry as POSCAR:
```
LiZrTa
1.0
1.4661 0.8465 16.5573
-1.4661 0.8465 16.5573
0.0000 -1.6929 16.5573
Li Zr Ta
2 2 2
direct
0.1393 0.1393 0.1393 Li
0.8607 0.8607 0.8607 Li
0.2488 0.2488 0.2488 Zr
0.7512 0.7512 0.7512 Zr
0.3078 0.3078 0.3078 Ta
0.6922 0.6922 0.6922 Ta
```

## Properties
Total moment (μB per atom): 0.00
Formation enthalpy at 0 K (eV/atom): 0.35
Uncorrected energy (eV per cell): -42.512
Space-group type: R-3m (166)


This record from Alexandria describes a relaxed structure of LiZrTa2. The functional is PBE-GGA.

Geometry as POSCAR:
```
LiZrTa2
1.0
-1.6384 2.2953 4.8827
1.6384 -2.2953 4.8827
1.6384 2.2953 -4.8827
Li Zr Ta
1 1 2
direct
0.0000 0.0000 0.0000 Li
0.5000 0.5000 0.0000 Zr
0.2346 0.7346 0.5000 Ta
0.7654 0.2654 0.5000 Ta
```

## Properties
Total moment (μB per atom): 0.00
Formation enthalpy at 0 K (eV/atom): 0.28
Uncorrected energy (eV per cell): -33.033
Space-group type: Immm (71)


Number 4 is which compound?
LiZrTa2


total moment of number 2 (LiZrTa2)?
0.00 μB per atom


What is the uncorrected energy in the first record?
-25.270 eV per cell


Repeat the fourth record exactly.
This record from Alexandria describes a relaxed structure of LiZrTa2. The functional is PBE-GGA.

Geometry as POSCAR:
```
LiZrTa2
1.0
-1.6384 2.2953 4.8827
1.6384 -2.2953 4.8827
1.6384 2.2953 -4.8827
Li Zr Ta
1 1 2
direct
0.0000 0.0000 0.0000 Li
0.5000 0.5000 0.0000 Zr
0.2346 0.7346 0.5000 Ta
0.7654 0.2654 0.5000 Ta
```

## Properties
Total moment (μB per atom): 0.00
Formation enthalpy at 0 K (eV/atom): 0.28
Uncorrected energy (eV per cell): -33.033
Space-group type: Immm (71)